VASP calculation (PBE-GGA) on crystalline RbTbCuTe2 at its relaxed geometry.

Lattice parameters (Å, degrees): 8.836 4.645 8.659 90.00 97.03 90.00
Positions (direct):
Rb1 0.000 0.161 0.250
Rb2 0.000 0.839 0.750
Tb1 0.500 0.495 0.750
Tb2 0.500 0.505 0.250
Cu1 0.500 0.000 0.000
Cu2 0.500 0.000 0.500
Te1 0.270 0.328 0.973
Te2 0.270 0.672 0.473
Te3 0.730 0.328 0.527
Te4 0.730 0.672 0.027

Calculated values
The value obtained for the formation energy without anion corrections is -3.8 eV per formula unit. For the energy, the calculation gives -3.96 eV per atom. Its density of states at the Fermi level is 0.4328 states/eV/atom.